Entry from Alexandria: a geometry-optimized Nd5Ho3 structure (PBE).

Unit cell a=7.3382 b=11.6564 c=12.6999 alpha=90.00 beta=90.00 gamma=90.00
Space group Amm2 (No. 38)
Asymmetric unit:
Nd  0.0000  0.0000  0.0000 [2 per cell]
Nd  0.0000  0.2454  0.3325 [4 per cell]
Nd  0.2513  0.2490  0.0816 [8 per cell]
Nd  0.2524  0.0000  0.7494 [4 per cell]
Nd  0.5000  0.0000  0.4957 [2 per cell]
Ho  0.0000  0.0000  0.4976 [2 per cell]
Ho  0.2519  0.0000  0.2485 [4 per cell]
Ho  0.5000  0.0000  0.0002 [2 per cell]
Ho  0.5000  0.2483  0.3326 [4 per cell]

Computed properties:
The calculation puts the polymorph energy (0 for the lowest one) at 5 kJ/mol of formula units.

---

Entry from Alexandria: a geometry-optimized NdHo6 structure (PBE).

Unit cell a=8.0466 b=8.0466 c=8.0466 alpha=90.00 beta=90.00 gamma=90.00
Space group Im-3m (No. 229)
Asymmetric unit:
Nd  0.0000  0.0000  0.0000 [2 per cell]
Ho  0.0000  0.2500  0.5000 [12 per cell]

---

Entry from Alexandria: a geometry-optimized Nd13Ho3 structure (PBE).

Unit cell a=7.3778 b=11.7995 c=12.7718 alpha=90.00 beta=90.00 gamma=90.00
Space group Amm2 (No. 38)
Asymmetric unit:
Nd  0.0000  0.0000  0.0000 [2 per cell]
Nd  0.0000  0.0000  0.5021 [2 per cell]
Nd  0.0000  0.2464  0.6688 [4 per cell]
Nd  0.2505  0.0000  0.2503 [4 per cell]
Nd  0.2515  0.2471  0.9183 [8 per cell]
Nd  0.5000  0.0000  0.5031 [2 per cell]
Nd  0.5000  0.2482  0.6680 [4 per cell]
Ho  0.2508  0.0000  0.7531 [4 per cell]
Ho  0.5000  0.0000  0.9994 [2 per cell]

Computed properties:
The calculation puts the polymorph energy (0 for the lowest one) at 27 kJ/mol of formula units.

---

Computed formation energy from the elements, in the same sequence as the records: 27.5; 1432.6; 31.5 meV/atom.
Computed ρ, in the same sequence as the records: 7.4; 7.2; 7.1 g/cm³.
Computed E, in the same sequence as the records: -4.6690; -3.1723; -4.7007 eV/atom.